(1)
P3C: relaxed, PBEsol.

Properties
Energy relative to the lowest polymorph listed for this composition (meV/atom): 0
Formation energy (eV/atom): 0.5818
Magnetic moment (μB/atom): 0.000
Mass density (kg/m3): 3479
Density of states at the Fermi level (states/eV/cell): 0.84
Space group: Pmm2

Cell and atoms, written as CIF:
```
data_P3C
_chemical_formula_sum 'P3 C1'
_cell_length_a 3.1028
_cell_length_b 4.3780
_cell_length_c 3.6869
_cell_angle_alpha 90.00
_cell_angle_beta 90.00
_cell_angle_gamma 90.00
_space_group_name_H-M_alt 'P 1'
_space_group_IT_number 1
loop_
_space_group_symop_operation_xyz
'x,y,z'
loop_
_atom_site_label
_atom_site_fract_x
_atom_site_fract_y
_atom_site_fract_z
_atom_site_occupancy
P1 0.0000 0.0000 0.0000 1
P2 0.0000 0.5000 0.1721 1
P3 0.5000 0.0000 0.5609 1
C1 0.5000 0.5000 0.4525 1
```

(2)
Mn3SiTc: relaxed, PBEsol.

Properties
Energy relative to the lowest polymorph listed for this composition (meV/atom): 396
Energy relative to the elements, uncorrected (meV per atom): 1466
Magnetic moment (μB/atom): 1.457
Mass density (kg/m3): 5592
Density of states at the Fermi level (states/eV/cell): 4.90
Space group: Pm-3m

Cell and atoms, written as CIF:
```
data_Mn3SiTc
_chemical_formula_sum 'Mn3 Si1 Tc1'
_cell_length_a 4.4205
_cell_length_b 4.4205
_cell_length_c 4.4205
_cell_angle_alpha 90.00
_cell_angle_beta 90.00
_cell_angle_gamma 90.00
_space_group_name_H-M_alt 'P 1'
_space_group_IT_number 1
loop_
_space_group_symop_operation_xyz
'x,y,z'
loop_
_atom_site_label
_atom_site_fract_x
_atom_site_fract_y
_atom_site_fract_z
_atom_site_occupancy
Mn1 0.0000 0.0000 0.5000 1
Mn2 0.0000 0.5000 0.0000 1
Mn3 0.5000 0.0000 0.0000 1
Si1 0.5000 0.5000 0.5000 1
Tc1 0.0000 0.0000 0.0000 1
```